[1]
The following is a PBE-GGA calculation of K3Th3RhSe8 after structural relaxation, from Alexandria via LeMat-Bulk.

a = 8.4342 Å, b = 8.4342 Å, c = 23.5087 Å
α = 90.00°, β = 90.00°, γ = 120.00°
Space group R-3m (No. 166, hexagonal axes)
One atom of each set of equivalent atoms:
K 0.0000 0.5000 0.0000 (multiplicity 9)
Th 0.0000 0.5000 0.5000 (multiplicity 9)
Rh 0.0000 0.0000 0.5000 (multiplicity 3)
Se 0.0000 0.0000 0.2389 (multiplicity 6)
Se 0.0071 0.5035 0.2324 (multiplicity 18)

Output
The calculation puts the calculated density at 5.32 g/cm3. The total energy is -5.4049 eV per atom. The crystal system is trigonal.

***

[2]
The following is a PBE-GGA calculation of K3TiRh2Se6 after structural relaxation, from Alexandria via LeMat-Bulk.

a = 6.740 Å, b = 11.678 Å, c = 7.661 Å
α = 90.00°, β = 107.08°, γ = 90.00°
Space group C2/m (No. 12)
One atom of each set of equivalent atoms:
K 0.000 0.000 0.000 (multiplicity 2)
K 0.000 0.335 0.000 (multiplicity 4)
Ti 0.000 0.500 0.500 (multiplicity 2)
Rh 0.000 0.167 0.500 (multiplicity 4)
Se 0.218 0.000 0.676 (multiplicity 4)
Se 0.229 0.330 0.676 (multiplicity 8)

Output
The calculation puts the calculated density at 4.87 g/cm3. The total energy is -4.7356 eV per atom. The crystal system is monoclinic.

***

[3]
The following is a PBE-GGA calculation of K3U3RhSe8 after structural relaxation, from Alexandria via LeMat-Bulk.

a = 8.0255 Å, b = 8.0255 Å, c = 24.0266 Å
α = 90.00°, β = 90.00°, γ = 120.00°
Space group R-3m (No. 166, hexagonal axes)
One atom of each set of equivalent atoms:
K 0.0000 0.5000 0.0000 (multiplicity 9)
U 0.0000 0.5000 0.5000 (multiplicity 9)
Rh 0.0000 0.0000 0.5000 (multiplicity 3)
Se 0.0000 0.0000 0.2375 (multiplicity 6)
Se 0.0196 0.5098 0.2315 (multiplicity 18)

Output
The calculation puts the calculated density at 5.82 g/cm3. The total energy is -5.9033 eV per atom. The crystal system is trigonal.

***

[4]
The following is a PBE-GGA calculation of KURhSe4 after structural relaxation, from Alexandria via LeMat-Bulk.

a = 6.798 Å, b = 6.160 Å, c = 9.116 Å
α = 90.00°, β = 103.99°, γ = 90.00°
Space group P2_1/m (No. 11)
One atom of each set of equivalent atoms:
K 0.238 0.250 0.040 (multiplicity 2)
U 0.252 0.250 0.544 (multiplicity 2)
Rh 0.244 0.750 0.381 (multiplicity 2)
Se 0.023 0.509 0.707 (multiplicity 4)
Se 0.451 0.750 0.193 (multiplicity 2)
Se 0.466 0.750 0.626 (multiplicity 2)

Output
The calculation puts the calculated density at 6.24 g/cm3. The total energy is -5.6382 eV per atom. The crystal system is monoclinic.

***

[5]
The following is a PBE-GGA calculation of K4U3RhSe8 after structural relaxation, from Alexandria via LeMat-Bulk.

a = 8.1996 Å, b = 8.1996 Å, c = 23.3200 Å
α = 90.00°, β = 90.00°, γ = 120.00°
Space group R-3m (No. 166, hexagonal axes)
One atom of each set of equivalent atoms:
K 0.0000 0.0000 0.0000 (multiplicity 3)
K 0.0000 0.5000 0.0000 (multiplicity 9)
U 0.0000 0.5000 0.5000 (multiplicity 9)
Rh 0.0000 0.0000 0.5000 (multiplicity 3)
Se 0.0000 0.0000 0.2376 (multiplicity 6)
Se 0.0116 0.5058 0.2334 (multiplicity 18)

Output
The calculation puts the calculated density at 5.89 g/cm3. The total energy is -5.6702 eV per atom. The crystal system is trigonal.

***

[6]
The following is a PBE-GGA calculation of K3U2RhSe6 after structural relaxation, from Alexandria via LeMat-Bulk.

a = 7.047 Å, b = 12.203 Å, c = 8.108 Å
α = 90.00°, β = 106.85°, γ = 90.00°
Space group C2/m (No. 12)
One atom of each set of equivalent atoms:
K 0.000 0.000 0.000 (multiplicity 2)
K 0.000 0.333 0.000 (multiplicity 4)
U 0.000 0.167 0.500 (multiplicity 4)
Rh 0.000 0.500 0.500 (multiplicity 2)
Se 0.228 0.339 0.701 (multiplicity 8)
Se 0.246 0.000 0.701 (multiplicity 4)

Output
The calculation puts the calculated density at 5.82 g/cm3. The total energy is -5.5397 eV per atom. The crystal system is monoclinic.

***

[7]
The following is a PBE-GGA calculation of KU2RhSe4 after structural relaxation, from Alexandria via LeMat-Bulk.

a = 4.015 Å, b = 14.329 Å, c = 14.239 Å
α = 90.00°, β = 90.00°, γ = 90.00°
Space group Cmcm (No. 63)
One atom of each set of equivalent atoms:
K 0.000 0.112 0.250 (multiplicity 4)
U 0.000 0.365 0.067 (multiplicity 8)
Rh 0.000 0.161 0.750 (multiplicity 4)
Se 0.000 0.000 0.000 (multiplicity 4)
Se 0.000 0.270 0.610 (multiplicity 8)
Se 0.000 0.439 0.250 (multiplicity 4)

Output
The calculation puts the calculated density at 7.57 g/cm3. The total energy is -6.6565 eV per atom. The crystal system is orthorhombic.

***

[8]
The following is a PBE-GGA calculation of K3URh3Se8 after structural relaxation, from Alexandria via LeMat-Bulk.

a = 13.129 Å, b = 7.578 Å, c = 8.842 Å
α = 90.00°, β = 119.72°, γ = 90.00°
Space group C2/m (No. 12)
One atom of each set of equivalent atoms:
K 0.000 0.000 0.000 (multiplicity 2)
K 0.250 0.250 0.000 (multiplicity 4)
U 0.000 0.000 0.500 (multiplicity 2)
Rh 0.000 0.500 0.500 (multiplicity 2)
Rh 0.250 0.250 0.500 (multiplicity 4)
Se 0.026 0.271 0.307 (multiplicity 8)
Se 0.222 0.500 0.665 (multiplicity 4)
Se 0.245 0.000 0.693 (multiplicity 4)

Output
The calculation puts the calculated density at 5.63 g/cm3. The total energy is -5.1166 eV per atom. The crystal system is monoclinic.

***

[9]
The following is a PBE-GGA calculation of KURhSe3 after structural relaxation, from Alexandria via LeMat-Bulk.

a = 8.993 Å, b = 4.096 Å, c = 9.581 Å
α = 90.00°, β = 109.00°, γ = 90.00°
Space group P2_1/m (No. 11)
One atom of each set of equivalent atoms:
K 0.202 0.250 0.245 (multiplicity 2)
U 0.316 0.750 0.840 (multiplicity 2)
Rh 0.089 0.250 0.591 (multiplicity 2)
Se 0.113 0.250 0.865 (multiplicity 2)
Se 0.210 0.750 0.533 (multiplicity 2)
Se 0.457 0.750 0.157 (multiplicity 2)

Output
The calculation puts the calculated density at 6.14 g/cm3. The total energy is -6.0125 eV per atom. The crystal system is monoclinic.

***

[10]
The following is a PBE-GGA calculation of K2URh2Se6 after structural relaxation, from Alexandria via LeMat-Bulk.

a = 6.427 Å, b = 11.314 Å, c = 8.262 Å
α = 90.00°, β = 103.88°, γ = 90.00°
Space group C2/m (No. 12)
One atom of each set of equivalent atoms:
K 0.000 0.159 0.000 (multiplicity 4)
U 0.000 0.000 0.500 (multiplicity 2)
Rh 0.000 0.333 0.500 (multiplicity 4)
Se 0.192 0.500 0.689 (multiplicity 4)
Se 0.238 0.181 0.686 (multiplicity 8)

Output
The calculation puts the calculated density at 5.67 g/cm3. The total energy is -5.3562 eV per atom. The crystal system is monoclinic.

***

[11]
The following is a PBE-GGA calculation of K2URhSe6 after structural relaxation, from Alexandria via LeMat-Bulk.

a = 7.262 Å, b = 7.298 Å, c = 10.297 Å
α = 90.00°, β = 90.00°, γ = 90.00°
Space group Immm (No. 71)
One atom of each set of equivalent atoms:
K 0.000 0.000 0.250 (multiplicity 4)
U 0.000 0.500 0.000 (multiplicity 2)
Rh 0.000 0.500 0.500 (multiplicity 2)
Se 0.000 0.500 0.258 (multiplicity 4)
Se 0.242 0.258 0.500 (multiplicity 8)

Output
The calculation puts the calculated density at 5.43 g/cm3. The total energy is -4.9366 eV per atom. The crystal system is orthorhombic.

***

[12]
The following is a PBE-GGA calculation of K3VRh3Se8 after structural relaxation, from Alexandria via LeMat-Bulk.

a = 7.5850 Å, b = 7.5850 Å, c = 22.3545 Å
α = 90.00°, β = 90.00°, γ = 120.00°
Space group R-3m (No. 166, hexagonal axes)
One atom of each set of equivalent atoms:
K 0.0000 0.5000 0.0000 (multiplicity 9)
V 0.0000 0.0000 0.5000 (multiplicity 3)
Rh 0.0000 0.5000 0.5000 (multiplicity 9)
Se 0.0000 0.0000 0.2224 (multiplicity 6)
Se 0.0025 0.5012 0.7751 (multiplicity 18)

Output
The calculation puts the calculated density at 4.96 g/cm3. The total energy is -4.8452 eV per atom. The crystal system is trigonal.

***

What is the formula in the second record? K3TiRh2Se6

***

What is the formula in the ninth record? KURhSe3

***

Which of these has the lowest calculated density? K3TiRh2Se6

***

What did the third record say?
The following is a PBE-GGA calculation of K3U3RhSe8 after structural relaxation, from Alexandria via LeMat-Bulk.

a = 8.0255 Å, b = 8.0255 Å, c = 24.0266 Å
α = 90.00°, β = 90.00°, γ = 120.00°
Space group R-3m (No. 166, hexagonal axes)
One atom of each set of equivalent atoms:
K 0.0000 0.5000 0.0000 (multiplicity 9)
U 0.0000 0.5000 0.5000 (multiplicity 9)
Rh 0.0000 0.0000 0.5000 (multiplicity 3)
Se 0.0000 0.0000 0.2375 (multiplicity 6)
Se 0.0196 0.5098 0.2315 (multiplicity 18)

Output
The calculation puts the calculated density at 5.82 g/cm3. The total energy is -5.9033 eV per atom. The crystal system is trigonal.